First-principles (PBE) data for an optimized crystal structure of SrTlSbI2, as listed in the Alexandria database.

Lattice parameters (Å, degrees): 6.3755 6.3755 6.5803 90.00 90.00 90.00
Last column: nearest neighbours and their distance in Å.
Space group P4/mmm (No. 123)
One atom of each set of equivalent atoms:
Sr 0.0000 0.0000 0.0000 [1 per cell]  4 I 3.19, 2 Sb 3.29
Tl 0.5000 0.5000 0.5000 [1 per cell]  4 Sb 4.51, 8 I 4.58
Sb 0.0000 0.0000 0.5000 [1 per cell]  2 Sr 3.29
I 0.0000 0.5000 0.0000 [2 per cell]  2 Sr 3.19

Values from the calculation:
relative energy among the computed polymorphs: 0 meV per atom
formation energy without anion corrections: -0.456 eV/atom
ρ: 4.14 g/cm3
calculated total energy: -2.710 eV/atom
crystal system: tetragonal
magnetic moment: 2.00 μB per formula unit